[1]
Below is an optimized crystal structure of AgPbSe2, with properties calculated at the PBE level.

Calculated values
Total DFT energy (no corrections) ... -3.57 eV/atom
Formation energy without anion corrections ... -0.1901 eV per atom

Geometry as CIF:
```
data_AgPbSe2
_space_group_name_H-M_alt 'P 1 m 1'
_space_group_IT_number 6
_space_group_name_Hall 'P -2y'
_cell_length_a 4.121
_cell_length_b 4.874
_cell_length_c 5.425
_cell_angle_alpha 90.00
_cell_angle_beta 92.65
_cell_angle_gamma 90.00
loop_
_atom_site_label
_atom_site_type_symbol
_atom_site_fract_x
_atom_site_fract_y
_atom_site_fract_z
_atom_site_occupancy
Ag1 Ag 0.000 0.000 0.000 1
Pb1 Pb 0.498 0.500 0.489 1
Se1 Se 0.816 0.500 0.999 1
Se2 Se 0.987 0.000 0.501 1
```

[2]
Below is an optimized crystal structure of ZnCdRe2, with properties calculated at the PBE level.

Calculated values
Calculated formation energy ... 0.497 eV per atom
E above lowest polymorph ... 334 meV/atom
Total DFT energy (no corrections) ... -6.27 eV/atom

Geometry as CIF:
```
data_ZnCdRe2
_space_group_name_H-M_alt 'I m m m'
_space_group_IT_number 71
_space_group_name_Hall '-I 2 2'
_cell_length_a 3.061
_cell_length_b 4.437
_cell_length_c 9.365
_cell_angle_alpha 90.00
_cell_angle_beta 90.00
_cell_angle_gamma 90.00
loop_
_atom_site_label
_atom_site_type_symbol
_atom_site_fract_x
_atom_site_fract_y
_atom_site_fract_z
_atom_site_occupancy
Zn1 Zn 0.000 0.000 0.000 1
Cd1 Cd 0.000 0.000 0.500 1
Re1 Re 0.000 0.500 0.261 1
```

[3]
Below is an optimized crystal structure of NdZnSi2Pd, with properties calculated at the PBE level.

Calculated values
Total DFT energy (no corrections) ... -5.16 eV/atom
Formation energy without anion corrections ... -0.7464 eV per atom

Geometry as CIF:
```
data_NdZnSi2Pd
_space_group_name_H-M_alt 'I -4 m 2'
_space_group_IT_number 119
_space_group_name_Hall 'I -4 -2'
_cell_length_a 4.144
_cell_length_b 4.144
_cell_length_c 10.379
_cell_angle_alpha 90.00
_cell_angle_beta 90.00
_cell_angle_gamma 90.00
loop_
_atom_site_label
_atom_site_type_symbol
_atom_site_fract_x
_atom_site_fract_y
_atom_site_fract_z
_atom_site_occupancy
Nd1 Nd 0.000 0.000 0.000 1
Zn1 Zn 0.000 0.500 0.750 1
Si1 Si 0.000 0.000 0.385 1
Pd1 Pd 0.000 0.500 0.250 1
```

[4]
Below is an optimized crystal structure of CaSmNp2As4, with properties calculated at the PBE level.

Calculated values
Calculated formation energy ... -0.975 eV per atom
Total DFT energy (no corrections) ... -7.37 eV/atom

Geometry as CIF:
```
data_CaSmNp2As4
_space_group_name_H-M_alt 'P 1 2/m 1'
_space_group_IT_number 10
_space_group_name_Hall '-P 2y'
_cell_length_a 7.217
_cell_length_b 4.156
_cell_length_c 7.225
_cell_angle_alpha 90.00
_cell_angle_beta 109.35
_cell_angle_gamma 90.00
loop_
_atom_site_label
_atom_site_type_symbol
_atom_site_fract_x
_atom_site_fract_y
_atom_site_fract_z
_atom_site_occupancy
Ca1 Ca 0.000 0.000 0.000 1
Sm1 Sm 0.500 0.500 0.000 1
Np1 Np 0.000 0.500 0.500 1
Np2 Np 0.500 0.000 0.500 1
As1 As 0.248 0.000 0.739 1
As2 As 0.257 0.500 0.265 1
```

[5]
Below is an optimized crystal structure of Sr2CaPb2, with properties calculated at the PBE level.

Calculated values
Calculated formation energy ... -0.362 eV per atom
E above lowest polymorph ... 151 meV/atom
Total DFT energy (no corrections) ... -2.92 eV/atom

Geometry as CIF:
```
data_Sr2CaPb2
_space_group_name_H-M_alt 'P 4/m b m'
_space_group_IT_number 127
_space_group_name_Hall '-P 4 2ab'
_cell_length_a 9.836
_cell_length_b 9.836
_cell_length_c 3.760
_cell_angle_alpha 90.00
_cell_angle_beta 90.00
_cell_angle_gamma 90.00
loop_
_atom_site_label
_atom_site_type_symbol
_atom_site_fract_x
_atom_site_fract_y
_atom_site_fract_z
_atom_site_occupancy
Sr1 Sr 0.126 0.374 0.000 1
Ca1 Ca 0.000 0.000 0.000 1
Pb1 Pb 0.176 0.676 0.500 1
```

[6]
Below is an optimized crystal structure of NiPdI6, with properties calculated at the PBE level.

Calculated values
E above lowest polymorph ... 26 meV/atom
Total DFT energy (no corrections) ... -2.60 eV/atom
Formation energy without anion corrections ... -0.0613 eV per atom

Geometry as CIF:
```
data_NiPdI6
_space_group_name_H-M_alt 'C 1 2/m 1'
_space_group_IT_number 12
_space_group_name_Hall '-C 2y'
_cell_length_a 7.160
_cell_length_b 11.724
_cell_length_c 7.167
_cell_angle_alpha 90.00
_cell_angle_beta 114.45
_cell_angle_gamma 90.00
loop_
_atom_site_label
_atom_site_type_symbol
_atom_site_fract_x
_atom_site_fract_y
_atom_site_fract_z
_atom_site_occupancy
Ni1 Ni 0.000 0.000 0.000 1
Pd1 Pd 0.000 0.500 0.500 1
I1 I 0.227 0.151 0.230 1
I2 I 0.227 0.500 0.270 1
```

[7]
Below is an optimized crystal structure of BaLiCo, with properties calculated at the PBE level.

Calculated values
Calculated formation energy ... 0.270 eV per atom
E above lowest polymorph ... 53 meV/atom
Total DFT energy (no corrections) ... -3.38 eV/atom

Geometry as CIF:
```
data_BaLiCo
_space_group_name_H-M_alt 'C 1 m 1'
_space_group_IT_number 8
_space_group_name_Hall 'C -2y'
_cell_length_a 12.038
_cell_length_b 4.015
_cell_length_c 6.680
_cell_angle_alpha 90.00
_cell_angle_beta 90.85
_cell_angle_gamma 90.00
loop_
_atom_site_label
_atom_site_type_symbol
_atom_site_fract_x
_atom_site_fract_y
_atom_site_fract_z
_atom_site_occupancy
Ba1 Ba 0.000 0.000 0.000 1
Ba2 Ba 0.108 0.500 0.527 1
Li1 Li 0.248 0.500 0.963 1
Li2 Li 0.323 0.000 0.331 1
Co1 Co 0.330 0.000 0.726 1
Co2 Co 0.374 0.500 0.599 1
```

[8]
Below is an optimized crystal structure of CdSi2P, with properties calculated at the PBE level.

Calculated values
E above lowest polymorph ... 452 meV/atom
Total DFT energy (no corrections) ... -3.79 eV/atom
Formation energy without anion corrections ... 0.5047 eV per atom

Geometry as CIF:
```
data_CdSi2P
_space_group_name_H-M_alt 'C m m m'
_space_group_IT_number 65
_space_group_name_Hall '-C 2 2'
_cell_length_a 3.213
_cell_length_b 5.053
_cell_length_c 8.796
_cell_angle_alpha 90.00
_cell_angle_beta 90.00
_cell_angle_gamma 90.00
loop_
_atom_site_label
_atom_site_type_symbol
_atom_site_fract_x
_atom_site_fract_y
_atom_site_fract_z
_atom_site_occupancy
Cd1 Cd 0.000 0.000 0.000 1
Si1 Si 0.000 0.500 0.296 1
P1 P 0.000 0.000 0.500 1
```

[9]
Below is an optimized crystal structure of BaHf3C, with properties calculated at the PBE level.

Calculated values
Calculated formation energy ... 0.372 eV per atom
E above lowest polymorph ... 0 meV/atom
Total DFT energy (no corrections) ... -7.83 eV/atom

Geometry as CIF:
```
data_BaHf3C
_space_group_name_H-M_alt 'P m -3 m'
_space_group_IT_number 221
_space_group_name_Hall '-P 4 2 3'
_cell_length_a 4.739
_cell_length_b 4.739
_cell_length_c 4.739
_cell_angle_alpha 90.00
_cell_angle_beta 90.00
_cell_angle_gamma 90.00
loop_
_atom_site_label
_atom_site_type_symbol
_atom_site_fract_x
_atom_site_fract_y
_atom_site_fract_z
_atom_site_occupancy
Ba1 Ba 0.000 0.000 0.000 1
Hf1 Hf 0.000 0.500 0.500 1
C1 C 0.500 0.500 0.500 1
```

[10]
Below is an optimized crystal structure of Ta4NbH5, with properties calculated at the PBE level.

Calculated values
Total DFT energy (no corrections) ... -7.51 eV/atom

Geometry as CIF:
```
data_Ta4NbH5
_space_group_name_H-M_alt 'I 4'
_space_group_IT_number 79
_space_group_name_Hall 'I 4'
_cell_length_a 6.494
_cell_length_b 6.494
_cell_length_c 4.829
_cell_angle_alpha 90.00
_cell_angle_beta 90.00
_cell_angle_gamma 90.00
loop_
_atom_site_label
_atom_site_type_symbol
_atom_site_fract_x
_atom_site_fract_y
_atom_site_fract_z
_atom_site_occupancy
Ta1 Ta 0.100 0.301 0.000 1
Nb1 Nb 0.000 0.000 0.500 1
H1 H 0.000 0.000 0.066 1
H2 H 0.101 0.300 0.572 1
```

[11]
Below is an optimized crystal structure of ZrTi2CN, with properties calculated at the PBE level.

Calculated values
Total DFT energy (no corrections) ... -6.27 eV/atom
Formation energy without anion corrections ... 2.1092 eV per atom

Geometry as CIF:
```
data_ZrTi2CN
_space_group_name_H-M_alt 'P 4/m m m'
_space_group_IT_number 123
_space_group_name_Hall '-P 4 2'
_cell_length_a 4.966
_cell_length_b 4.966
_cell_length_c 3.980
_cell_angle_alpha 90.00
_cell_angle_beta 90.00
_cell_angle_gamma 90.00
loop_
_atom_site_label
_atom_site_type_symbol
_atom_site_fract_x
_atom_site_fract_y
_atom_site_fract_z
_atom_site_occupancy
Zr1 Zr 0.000 0.000 0.000 1
Ti1 Ti 0.000 0.500 0.000 1
C1 C 0.500 0.500 0.500 1
N1 N 0.000 0.000 0.500 1
```

[12]
Below is an optimized crystal structure of MgCo2Au2, with properties calculated at the PBE level.

Calculated values
Calculated formation energy ... 0.094 eV per atom
Total DFT energy (no corrections) ... -4.38 eV/atom

Geometry as CIF:
```
data_MgCo2Au2
_space_group_name_H-M_alt 'P 4/m b m'
_space_group_IT_number 127
_space_group_name_Hall '-P 4 2ab'
_cell_length_a 7.280
_cell_length_b 7.280
_cell_length_c 3.008
_cell_angle_alpha 90.00
_cell_angle_beta 90.00
_cell_angle_gamma 90.00
loop_
_atom_site_label
_atom_site_type_symbol
_atom_site_fract_x
_atom_site_fract_y
_atom_site_fract_z
_atom_site_occupancy
Mg1 Mg 0.000 0.000 0.000 1
Co1 Co 0.109 0.391 0.000 1
Au1 Au 0.186 0.686 0.500 1
```

[13]
Below is an optimized crystal structure of SrEuCuPt, with properties calculated at the PBE level.

Calculated values
Calculated formation energy ... -0.454 eV per atom
Total DFT energy (no corrections) ... -5.98 eV/atom

Geometry as CIF:
```
data_SrEuCuPt
_space_group_name_H-M_alt 'F -4 3 m'
_space_group_IT_number 216
_space_group_name_Hall 'F -4 2 3'
_cell_length_a 7.323
_cell_length_b 7.323
_cell_length_c 7.323
_cell_angle_alpha 90.00
_cell_angle_beta 90.00
_cell_angle_gamma 90.00
loop_
_atom_site_label
_atom_site_type_symbol
_atom_site_fract_x
_atom_site_fract_y
_atom_site_fract_z
_atom_site_occupancy
Sr1 Sr 0.000 0.000 0.000 1
Eu1 Eu 0.000 0.000 0.500 1
Cu1 Cu 0.250 0.250 0.750 1
Pt1 Pt 0.250 0.250 0.250 1
```

[14]
Below is an optimized crystal structure of Th2MgCu, with properties calculated at the PBE level.

Calculated values
Calculated formation energy ... 0.106 eV per atom
E above lowest polymorph ... 83 meV/atom
Total DFT energy (no corrections) ... -5.03 eV/atom

Geometry as CIF:
```
data_Th2MgCu
_space_group_name_H-M_alt 'F m -3 m'
_space_group_IT_number 225
_space_group_name_Hall '-F 4 2 3'
_cell_length_a 7.412
_cell_length_b 7.412
_cell_length_c 7.412
_cell_angle_alpha 90.00
_cell_angle_beta 90.00
_cell_angle_gamma 90.00
loop_
_atom_site_label
_atom_site_type_symbol
_atom_site_fract_x
_atom_site_fract_y
_atom_site_fract_z
_atom_site_occupancy
Th1 Th 0.250 0.250 0.250 1
Mg1 Mg 0.000 0.000 0.000 1
Cu1 Cu 0.000 0.000 0.500 1
```

[15]
Below is an optimized crystal structure of LiCd2Pd2, with properties calculated at the PBE level.

Calculated values
Calculated formation energy ... -0.153 eV per atom
E above lowest polymorph ... 202 meV/atom
Total DFT energy (no corrections) ... -2.98 eV/atom

Geometry as CIF:
```
data_LiCd2Pd2
_space_group_name_H-M_alt 'I 4/m m m'
_space_group_IT_number 139
_space_group_name_Hall '-I 4 2'
_cell_length_a 3.912
_cell_length_b 3.912
_cell_length_c 13.249
_cell_angle_alpha 90.00
_cell_angle_beta 90.00
_cell_angle_gamma 90.00
loop_
_atom_site_label
_atom_site_type_symbol
_atom_site_fract_x
_atom_site_fract_y
_atom_site_fract_z
_atom_site_occupancy
Li1 Li 0.000 0.000 0.000 1
Cd1 Cd 0.000 0.000 0.395 1
Pd1 Pd 0.000 0.500 0.250 1
```

[16]
Below is an optimized crystal structure of CrFe2As, with properties calculated at the PBE level.

Calculated values
Calculated formation energy ... 0.094 eV per atom
Total DFT energy (no corrections) ... -7.71 eV/atom

Geometry as CIF:
```
data_CrFe2As
_space_group_name_H-M_alt 'I m m 2'
_space_group_IT_number 44
_space_group_name_Hall 'I 2 -2'
_cell_length_a 3.132
_cell_length_b 3.897
_cell_length_c 7.755
_cell_angle_alpha 90.00
_cell_angle_beta 90.00
_cell_angle_gamma 90.00
loop_
_atom_site_label
_atom_site_type_symbol
_atom_site_fract_x
_atom_site_fract_y
_atom_site_fract_z
_atom_site_occupancy
Cr1 Cr 0.000 0.000 0.000 1
Fe1 Fe 0.000 0.000 0.514 1
Fe2 Fe 0.000 0.500 0.761 1
As1 As 0.000 0.500 0.253 1
```

[17]
Below is an optimized crystal structure of Li2AgSb2, with properties calculated at the PBE level.

Calculated values
E above lowest polymorph ... 91 meV/atom
Total DFT energy (no corrections) ... -3.18 eV/atom
Formation energy without anion corrections ... -0.1976 eV per atom

Geometry as CIF:
```
data_Li2AgSb2
_space_group_name_H-M_alt 'P 4/m b m'
_space_group_IT_number 127
_space_group_name_Hall '-P 4 2ab'
_cell_length_a 7.969
_cell_length_b 7.969
_cell_length_c 3.233
_cell_angle_alpha 90.00
_cell_angle_beta 90.00
_cell_angle_gamma 90.00
loop_
_atom_site_label
_atom_site_type_symbol
_atom_site_fract_x
_atom_site_fract_y
_atom_site_fract_z
_atom_site_occupancy
Li1 Li 0.116 0.384 0.000 1
Ag1 Ag 0.000 0.000 0.000 1
Sb1 Sb 0.185 0.685 0.500 1
```